No. 1
# SmTmTcAu

Crystalline SmTmTcAu at its relaxed geometry (PBE, Alexandria).

Cell: 7.035 7.035 7.035 Å, 90.00 90.00 90.00°
Sites, in units of the cell vectors:
Sm1 0.000 0.000 0.000
Sm2 0.000 0.500 0.500
Sm3 0.500 0.000 0.500
Sm4 0.500 0.500 0.000
Tm1 0.000 0.000 0.500
Tm2 0.000 0.500 0.000
Tm3 0.500 0.000 0.000
Tm4 0.500 0.500 0.500
Tc1 0.250 0.250 0.250
Tc2 0.250 0.750 0.750
Tc3 0.750 0.250 0.750
Tc4 0.750 0.750 0.250
Au1 0.250 0.250 0.750
Au2 0.250 0.750 0.250
Au3 0.750 0.250 0.250
Au4 0.750 0.750 0.750

- space group = No. 216
- ΔH_f (0 K) (eV/atom) = -0.322

No. 2
# NaHoIn4

Crystalline NaHoIn4 at its relaxed geometry (PBE, Alexandria).

Cell: 6.073 6.073 6.073 Å, 60.00 60.00 60.00°
Sites, in units of the cell vectors:
Na1 0.000 0.000 0.000
Ho1 0.750 0.750 0.750
In1 0.375 0.375 0.375
In2 0.375 0.375 0.875
In3 0.375 0.875 0.375
In4 0.875 0.375 0.375

- space group = No. 216
- energy relative to the lowest polymorph listed for this composition (eV/atom) = 0.0842
- ΔH_f (0 K) (eV/atom) = -0.150

No. 3
# Rb2ReBI6

Crystalline Rb2ReBI6 at its relaxed geometry (PBE, Alexandria).

Cell: 8.043 8.043 8.043 Å, 120.17 120.17 89.71°
Sites, in units of the cell vectors:
Rb1 0.250 0.750 0.500
Rb2 0.750 0.250 0.500
Re1 0.000 0.000 0.000
B1 0.500 0.500 0.000
I1 0.245 0.245 0.000
I2 0.246 0.246 0.493
I3 0.246 0.754 0.000
I4 0.754 0.246 0.000
I5 0.754 0.754 0.507
I6 0.755 0.755 0.000

- space group = No. 139
- total energy (eV per atom) = -3.14

For each record above, in turn, the calculated M_tot values are 0.00, 0.00, 3.21 μB per cell.